Entry 1:
## PaB3 (PBEsol)

Data for a geometry-optimized PaB3 structure.

The space group is P6_3/mmc (No. 194) and the conventional cell measures 5.4195, 5.4195 and 3.3982 Å, with angles of 90.00, 90.00 and 120.00 degrees. Symmetry generates all atoms from Pa at (0.3333, 0.6667, 0.2500) and B at (0.1134, 0.2267, 0.7500).

Its energy of formation from the pure elements is -258 meV/atom.

---

Entry 2:
## BPdPbSe2 (PBEsol)

Data for a geometry-optimized BPdPbSe2 structure.

The space group is P4/mmm (No. 123) and the conventional cell measures 4.3656, 4.3656 and 4.9268 Å, with angles of 90.00, 90.00 and 90.00 degrees. Symmetry generates all atoms from B at (0.0000, 0.0000, 0.0000), Pd at (0.5000, 0.5000, 0.5000), Pb at (0.0000, 0.0000, 0.5000) and Se at (0.0000, 0.5000, 0.0000).

The uncorrected formation energy is 653.1 meV per atom.

---

Entry 3:
## RbB3Pb (PBEsol)

Data for a geometry-optimized RbB3Pb structure.

The space group is Pm-3m (No. 221) and the conventional cell measures 4.8193, 4.8193 and 4.8193 Å, with angles of 90.00, 90.00 and 90.00 degrees. Symmetry generates all atoms from Rb at (0.0000, 0.0000, 0.0000), B at (0.0000, 0.0000, 0.5000) and Pb at (0.5000, 0.5000, 0.5000).

Its energy of formation from the pure elements is 3096 meV/atom.

---

Entry 4:
## B2RhPb (PBEsol)

Data for a geometry-optimized B2RhPb structure.

The space group is I-42d (No. 122) and the conventional cell measures 5.1438, 5.1438 and 10.0234 Å, with angles of 90.00, 90.00 and 90.00 degrees. Symmetry generates all atoms from B at (0.1612, 0.2500, 0.1250), Rh at (0.0000, 0.0000, 0.0000) and Pb at (0.0000, 0.0000, 0.5000).

Its energy of formation from the pure elements is 655 meV/atom.

---

Entry 5:
## BRu2Pb2 (PBEsol)

Data for a geometry-optimized BRu2Pb2 structure.

The space group is I4/mmm (No. 139) and the conventional cell measures 5.3517, 5.3517 and 6.9368 Å, with angles of 90.00, 90.00 and 90.00 degrees. Symmetry generates all atoms from B at (0.0000, 0.0000, 0.0000), Ru at (0.0000, 0.0000, 0.2727) and Pb at (0.0000, 0.5000, 0.2500).

Its energy of formation from the pure elements is 742 meV/atom.

---

Entry 6:
## BRuPb3 (PBEsol)

Data for a geometry-optimized BRuPb3 structure.

The space group is Pm-3m (No. 221) and the conventional cell measures 4.7888, 4.7888 and 4.7888 Å, with angles of 90.00, 90.00 and 90.00 degrees. Symmetry generates all atoms from B at (0.0000, 0.0000, 0.0000), Ru at (0.5000, 0.5000, 0.5000) and Pb at (0.0000, 0.0000, 0.5000).

Its energy of formation from the pure elements is 1291 meV/atom.

---

Entry 7:
## B3PbS (PBEsol)

Data for a geometry-optimized B3PbS structure.

The space group is Pm-3m (No. 221) and the conventional cell measures 3.9844, 3.9844 and 3.9844 Å, with angles of 90.00, 90.00 and 90.00 degrees. Symmetry generates all atoms from B at (0.0000, 0.0000, 0.5000), Pb at (0.5000, 0.5000, 0.5000) and S at (0.0000, 0.0000, 0.0000).

The uncorrected formation energy is 1545.9 meV per atom.

---

Entry 8:
## Sc3BPb (PBEsol)

Data for a geometry-optimized Sc3BPb structure.

The space group is Pm-3m (No. 221) and the conventional cell measures 4.6303, 4.6303 and 4.6303 Å, with angles of 90.00, 90.00 and 90.00 degrees. Symmetry generates all atoms from Sc at (0.0000, 0.0000, 0.5000), B at (0.0000, 0.0000, 0.0000) and Pb at (0.5000, 0.5000, 0.5000).

Its energy of formation from the pure elements is -554 meV/atom.

---

Entry 9:
## Sc2BPb (PBEsol)

Data for a geometry-optimized Sc2BPb structure.

The space group is R-3m (No. 166, hexagonal axes) and the conventional cell measures 3.5072, 3.5072 and 25.7818 Å, with angles of 90.00, 90.00 and 120.00 degrees. Symmetry generates all atoms from Sc at (0.0000, 0.0000, 0.1199), B at (0.0000, 0.0000, 0.5000) and Pb at (0.0000, 0.0000, 0.0000).

Its energy of formation from the pure elements is -64 meV/atom.

---

Entry 10:
## BPbSe3 (PBEsol)

Data for a geometry-optimized BPbSe3 structure.

The space group is Pm-3m (No. 221) and the conventional cell measures 4.5851, 4.5851 and 4.5851 Å, with angles of 90.00, 90.00 and 90.00 degrees. Symmetry generates all atoms from B at (0.0000, 0.0000, 0.0000), Pb at (0.5000, 0.5000, 0.5000) and Se at (0.0000, 0.0000, 0.5000).

The uncorrected formation energy is 275.9 meV per atom.

---

Entry 11:
## BPbSe3 (PBEsol)

Data for a geometry-optimized BPbSe3 structure.

The space group is Pm-3m (No. 221) and the conventional cell measures 5.3565, 5.3565 and 5.3565 Å, with angles of 90.00, 90.00 and 90.00 degrees. Symmetry generates all atoms from B at (0.0000, 0.0000, 0.0000), Pb at (0.5000, 0.5000, 0.5000) and Se at (0.0000, 0.5000, 0.5000).

The uncorrected formation energy is 1494.5 meV per atom.

---

Entry 12:
## SrB3Pb (PBEsol)

Data for a geometry-optimized SrB3Pb structure.

The space group is Pm-3m (No. 221) and the conventional cell measures 4.6972, 4.6972 and 4.6972 Å, with angles of 90.00, 90.00 and 90.00 degrees. Symmetry generates all atoms from Sr at (0.0000, 0.0000, 0.0000), B at (0.0000, 0.5000, 0.5000) and Pb at (0.5000, 0.5000, 0.5000).

Its energy of formation from the pure elements is 1813 meV/atom.

---

Entry 13:
## SrB2Pb (PBEsol)

Data for a geometry-optimized SrB2Pb structure.

The space group is I4_1/amd (No. 141, origin choice 2) and the conventional cell measures 4.4758, 4.4758 and 16.6639 Å, with angles of 90.00, 90.00 and 90.00 degrees. Symmetry generates all atoms from Sr at (0.0000, 0.2500, 0.3750), B at (0.0000, 0.0000, 0.0000) and Pb at (0.0000, 0.2500, 0.8750).

Its energy of formation from the pure elements is 968 meV/atom.

---

Entry 14:
## SrBPb3 (PBEsol)

Data for a geometry-optimized SrBPb3 structure.

The space group is Pm-3m (No. 221) and the conventional cell measures 5.9610, 5.9610 and 5.9610 Å, with angles of 90.00, 90.00 and 90.00 degrees. Symmetry generates all atoms from Sr at (0.0000, 0.0000, 0.0000), B at (0.5000, 0.5000, 0.5000) and Pb at (0.0000, 0.0000, 0.5000).

Its energy of formation from the pure elements is 1808 meV/atom.

---

Entry 15:
## Ta3BPb (PBEsol)

Data for a geometry-optimized Ta3BPb structure.

The space group is Pm-3m (No. 221) and the conventional cell measures 4.3889, 4.3889 and 4.3889 Å, with angles of 90.00, 90.00 and 90.00 degrees. Symmetry generates all atoms from Ta at (0.0000, 0.0000, 0.5000), B at (0.0000, 0.0000, 0.0000) and Pb at (0.5000, 0.5000, 0.5000).

Its energy of formation from the pure elements is 216 meV/atom.

---

Entry 16:
## Tc3BPb (PBEsol)

Data for a geometry-optimized Tc3BPb structure.

The space group is Pm-3m (No. 221) and the conventional cell measures 4.1679, 4.1679 and 4.1679 Å, with angles of 90.00, 90.00 and 90.00 degrees. Symmetry generates all atoms from Tc at (0.0000, 0.0000, 0.5000), B at (0.0000, 0.0000, 0.0000) and Pb at (0.5000, 0.5000, 0.5000).

Its energy of formation from the pure elements is 358 meV/atom.

---

Entry 17:
## B3PbW (PBEsol)

Data for a geometry-optimized B3PbW structure.

The space group is Pm-3m (No. 221) and the conventional cell measures 4.2737, 4.2737 and 4.2737 Å, with angles of 90.00, 90.00 and 90.00 degrees. Symmetry generates all atoms from B at (0.0000, 0.0000, 0.5000), Pb at (0.5000, 0.5000, 0.5000) and W at (0.0000, 0.0000, 0.0000).

Its energy of formation from the pure elements is 1125 meV/atom.

---

Entry 18:
## BPbW3 (PBEsol)

Data for a geometry-optimized BPbW3 structure.

The space group is Pm-3m (No. 221) and the conventional cell measures 4.2695, 4.2695 and 4.2695 Å, with angles of 90.00, 90.00 and 90.00 degrees. Symmetry generates all atoms from B at (0.0000, 0.0000, 0.0000), Pb at (0.5000, 0.5000, 0.5000) and W at (0.0000, 0.0000, 0.5000).

Its energy of formation from the pure elements is 695 meV/atom.

---

Entry 19:
## YBPb3 (PBEsol)

Data for a geometry-optimized YBPb3 structure.

The space group is Pm-3m (No. 221) and the conventional cell measures 5.7421, 5.7421 and 5.7421 Å, with angles of 90.00, 90.00 and 90.00 degrees. Symmetry generates all atoms from Y at (0.0000, 0.0000, 0.0000), B at (0.5000, 0.5000, 0.5000) and Pb at (0.0000, 0.0000, 0.5000).

Its energy of formation from the pure elements is 1493 meV/atom.

---

Entry 20:
## ZnB2Pb (PBEsol)

Data for a geometry-optimized ZnB2Pb structure.

The space group is I-42d (No. 122) and the conventional cell measures 4.0639, 4.0639 and 13.9252 Å, with angles of 90.00, 90.00 and 90.00 degrees. Symmetry generates all atoms from Zn at (0.0000, 0.0000, 0.0000), B at (0.1128, 0.2500, 0.1250) and Pb at (0.0000, 0.0000, 0.5000).

Its energy of formation from the pure elements is 962 meV/atom.